# 1
VASP calculation (PBE) on an optimized crystal structure of Sr2Tl3Hg.

Structure (POSCAR):
```
Sr2Tl3Hg
1.0
6.495 1.084 0.000
0.682 6.550 0.000
-3.588 -3.817 9.137
Tl Sr Hg
6 4 2
direct
0.337 0.337 0.169 Tl
0.168 0.168 0.831 Tl
0.831 0.831 0.662 Tl
0.169 0.169 0.338 Tl
0.663 0.663 0.831 Tl
0.832 0.832 0.169 Tl
0.750 0.250 0.500 Sr
0.253 0.747 0.000 Sr
0.747 0.253 0.000 Sr
0.250 0.750 0.500 Sr
0.333 0.333 0.666 Hg
0.667 0.667 0.334 Hg
```

Values from the calculation:
Energy of formation from the pure elements: -353 meV/atom
Calculated total energy: -2.147 eV per atom
Excess energy over the best structure of this formula in the dataset: 2 meV per atom

***

# 2
VASP calculation (PBE) on an optimized crystal structure of SrTl8Hg6.

Structure (POSCAR):
```
SrTl8Hg6
1.0
9.088 0.000 0.000
4.544 7.870 0.000
4.544 2.623 6.702
Tl Sr Hg
8 1 6
direct
0.680 0.680 0.960 Tl
0.444 0.789 0.652 Tl
0.320 0.320 0.040 Tl
0.789 0.115 0.652 Tl
0.211 0.885 0.348 Tl
0.556 0.211 0.348 Tl
0.115 0.444 0.652 Tl
0.885 0.556 0.348 Tl
0.000 0.000 0.000 Sr
0.293 0.602 0.178 Hg
0.707 0.398 0.822 Hg
0.398 0.073 0.822 Hg
0.073 0.707 0.822 Hg
0.602 0.927 0.178 Hg
0.927 0.293 0.178 Hg
```

Values from the calculation:
Energy of formation from the pure elements: -58 meV/atom
Calculated total energy: -1.553 eV per atom

***

# 3
VASP calculation (PBE) on an optimized crystal structure of Sr3Tl5Hg2.

Structure (POSCAR):
```
Sr3Tl5Hg2
1.0
-1.232 10.716 2.359
-6.680 -0.321 -2.032
1.519 -7.315 8.181
Tl Sr Hg
10 6 4
direct
0.038 0.788 0.576 Tl
0.538 0.788 0.576 Tl
0.462 0.212 0.424 Tl
0.750 0.500 0.000 Tl
0.500 0.267 0.000 Tl
0.000 0.267 0.000 Tl
0.250 0.500 0.000 Tl
0.000 0.733 0.000 Tl
0.962 0.212 0.424 Tl
0.500 0.733 0.000 Tl
0.750 0.000 0.000 Sr
0.172 0.672 0.343 Sr
0.328 0.329 0.657 Sr
0.250 0.000 0.000 Sr
0.672 0.671 0.343 Sr
0.828 0.328 0.657 Sr
0.638 0.138 0.276 Hg
0.138 0.138 0.276 Hg
0.362 0.862 0.724 Hg
0.862 0.862 0.724 Hg
```

Values from the calculation:
Energy of formation from the pure elements: -220 meV/atom
Calculated total energy: -1.968 eV per atom